The following is a PBE+U calculation of an optimized crystal structure of LiCa2VO4, from the Alexandria database.

Summary:
DFT total energy   -52.571 eV/f.u.

Unit cell a=5.4615 b=3.2715 c=5.5171 alpha=90.00 beta=108.44 gamma=90.00
Last column: nearest neighbours and their distance in Å.
Fractional coordinates of all 8 atoms:
Li 0.0000 0.0000 0.0000  6 O 2.18-2.30
Ca 0.5000 0.0000 0.5000  6 O 2.28-2.30
Ca 0.5000 0.5000 0.0000  6 O 2.40-2.41
V 0.0000 0.5000 0.5000  6 O 2.05-2.19
O 0.2213 0.0000 0.7336  1 Li 2.18, 2 V 2.19, 3 Ca 2.28-2.40
O 0.2288 0.5000 0.2691  1 V 2.05
O 0.7712 0.5000 0.7309  1 V 2.05
O 0.7787 0.0000 0.2664  1 Li 2.18, 2 V 2.19, 3 Ca 2.28-2.40